{"formula": "LiAcTl2", "functional": "PBE-GGA", "state": "relaxed", "space_group": "Fm-3m", "e_above_lowest_polymorph_mev_per_atom": 21, "vol_a3_per_fu": 118.9, "delta_e_f_ev_per_atom": -0.311, "dos_ef_per_ev_atom": 0.47, "magnetic_moment_mub_per_atom": 0.0000, "energy_ev_per_atom": -3.00, "lattice_angstrom": [[0.000, 3.903, 3.903], [3.903, 0.000, 3.903], [3.903, 3.903, 0.000]], "species": ["Li", "Ac", "Tl", "Tl"], "frac_coords": [[0.000, 0.000, 0.000], [0.500, 0.500, 0.500], [0.250, 0.250, 0.250], [0.750, 0.750, 0.750]]}